1.
VASP calculation (PBE) on a relaxed structure of Sc2SbO.

As for the energy above the lowest structure with this stoichiometry: 0.566 eV per formula unit. The calculation puts the total DFT energy (no corrections) at -58.10 eV per cell. Its symmetry is I-42d, No. 122. The value obtained for the density is 4.85 g/cm3.

Geometry as POSCAR:
```
Sc2SbO
1.0
-3.295 3.295 3.589
3.295 -3.295 3.589
3.295 3.295 -3.589
Sc Sb O
4 2 2
Cartesian
4.942 0.896 -0.897
0.896 1.647 0.897
-1.647 2.399 2.692
2.399 1.647 4.487
3.295 0.000 1.795
0.000 0.000 3.589
0.000 0.000 0.000
0.000 3.295 1.795
```



2.
VASP calculation (PBE) on a relaxed structure of Sc2SbO.

As for the energy above the lowest structure with this stoichiometry: 0.000 eV per formula unit. The calculation puts the total DFT energy (no corrections) at -59.23 eV per cell. Its symmetry is Pmmn, No. 59. The value obtained for the density is 5.16 g/cm3.

Geometry as POSCAR:
```
Sc2SbO
1.0
4.104 0.000 0.000
0.000 4.273 0.000
0.000 0.000 8.353
Sc Sb O
4 2 2
Cartesian
1.026 1.068 0.142
1.026 3.205 2.785
3.078 1.068 5.568
3.078 3.205 8.211
1.026 3.205 5.744
3.078 1.068 2.609
1.026 3.205 0.579
3.078 1.068 7.774
```



> Which value of energy above the lowest structure with this stoichiometry does entry 2 give?

0.000 eV per formula unit



> The highest energy above the lowest structure with this stoichiometry belongs to which entry?

number 1



> What is the formula in the second record?

Sc2SbO



> Which formula does entry 1 have?

Sc2SbO